Arrangement P

{
  "formula": "CdNi3O",
  "functional": "GGA+U",
  "state": "optimized geometry",
  "dos_ef_per_ev_atom": 0.5855,
  "lattice": [[4.7501, 0.0000, 0.0000], [0.0000, 4.7501, 0.0000], [0.0000, 0.0000, 4.7501]],
  "species": ["Cd", "Ni", "Ni", "Ni", "O"],
  "fractional_positions": [[0.0000, 0.0000, 0.0000], [0.0000, 0.0000, 0.5000], [0.0000, 0.5000, 0.0000], [0.5000, 0.0000, 0.0000], [0.5000, 0.5000, 0.5000]]
}

***

Arrangement Q

{
  "formula": "CdNi3O",
  "functional": "GGA+U",
  "state": "optimized geometry",
  "dos_ef_per_ev_atom": 0.2008,
  "lattice": [[4.0216, 0.0000, 0.0000], [0.0000, 4.0216, 0.0000], [0.0000, 0.0000, 4.0216]],
  "species": ["Cd", "Ni", "Ni", "Ni", "O"],
  "fractional_positions": [[0.0000, 0.0000, 0.0000], [0.0000, 0.5000, 0.5000], [0.5000, 0.0000, 0.5000], [0.5000, 0.5000, 0.0000], [0.5000, 0.5000, 0.5000]]
}

***

Name the most stable of them. arrangement Q.